The following is a DFT calculation (PBE with a Hubbard U) of ZnCdCoF6 after structural relaxation.

Calculated values
Final energy: -4.27 eV/atom

CIF file:
```
data_ZnCdCoF6
_chemical_formula_sum 'Zn2 Cd2 Co2 F12'
_cell_length_a 5.3775
_cell_length_b 5.3775
_cell_length_c 9.5993
_cell_angle_alpha 90.00
_cell_angle_beta 90.00
_cell_angle_gamma 120.00
_space_group_name_H-M_alt 'P 1'
_space_group_IT_number 1
_space_group_name_Hall 'P 1'
loop_
_atom_site_label
_atom_site_fract_x
_atom_site_fract_y
_atom_site_fract_z
Zn1 0.3333 0.6667 0.2500
Zn2 0.6667 0.3333 0.7500
Cd1 0.0000 0.0000 0.0000
Cd2 0.0000 0.0000 0.5000
Co1 0.3333 0.6667 0.7500
Co2 0.6667 0.3333 0.2500
F1 0.0007 0.3498 0.6362
F2 0.0007 0.6509 0.8638
F3 0.3491 0.3498 0.8638
F4 0.3491 0.9993 0.6362
F5 0.3498 0.0007 0.1362
F6 0.3498 0.3491 0.3638
F7 0.6502 0.6509 0.6362
F8 0.6502 0.9993 0.8638
F9 0.6509 0.0007 0.3638
F10 0.6509 0.6502 0.1362
F11 0.9993 0.3491 0.1362
F12 0.9993 0.6502 0.3638
```